WC2F | PBE with a Hubbard U | relaxed

a b c (Å): 5.3851 5.3851 5.3851
angles (deg): 90.00 90.00 90.00
With the nearest neighbours (Å) after each atom.
Space group Fm-3m (No. 225)
Unique sites:
W  0.0000  0.0000  0.0000 [4 per cell]  8 C 2.33
C  0.2500  0.2500  0.2500 [8 per cell]  4 F 2.33, 4 W 2.33
F  0.0000  0.0000  0.5000 [4 per cell]  8 C 2.33

* polymorph energy (0 for the lowest one): 0.271 eV/atom
* volume: 9.760 Å³ per atom